# ZnCr4As

A geometry-optimized ZnCr4As structure (GGA-PBE, Alexandria).

Calculated values
E_form ... 0.402 eV/atom

a b c (Å): 4.802 4.802 4.802
angles (deg): 60.00 60.00 60.00
Positions (direct):
Zn 0.000 0.000 0.000
Cr 0.374 0.374 0.374
Cr 0.374 0.374 0.879
Cr 0.374 0.879 0.374
Cr 0.879 0.374 0.374
As 0.750 0.750 0.750

=====

# ZnCrAs4

A geometry-optimized ZnCrAs4 structure (GGA-PBE, Alexandria).

Calculated values
E_form ... 0.528 eV/atom

a b c (Å): 5.540 5.540 5.540
angles (deg): 60.00 60.00 60.00
Positions (direct):
Zn 0.000 0.000 0.000
Cr 0.750 0.750 0.750
As 0.374 0.374 0.374
As 0.374 0.374 0.878
As 0.374 0.878 0.374
As 0.878 0.374 0.374